No. 1
Material: Dy5YEr3
Method: DFT, PBE-GGA
State: optimized geometry

abc: 15.0576 11.3770 9.8615
angles: 90.00 130.01 90.00
Last column: nearest neighbours and their distance in Å.
Space group C2/m (No. 12)
Asymmetric unit:
Dy  0.0000  0.2422  0.0000 [4 per cell]  1 Er 2.93
Dy  0.1480  0.2481  0.7489 [8 per cell]  3 Dy 3.31-3.68, 2 Er 3.45-3.49
Dy  0.2219  0.5000  0.0384 [4 per cell]  3 Er 3.11-3.31, 3 Dy 3.26-3.31, 1 Y 3.32
Dy  0.2239  0.0000  0.2330 [4 per cell]  3 Er 3.18-3.33, 3 Dy 3.26-3.39, 1 Y 3.37
Y  0.2476  0.0000  0.5971 [4 per cell]  4 Er 3.20-3.39, 2 Dy 3.32-3.37
Er  0.0000  0.0000  0.5000 [2 per cell]  2 Er 3.05, 2 Y 3.20
Er  0.0000  0.5000  0.0000 [2 per cell]  4 Dy 2.93-3.11
Er  0.0106  0.0000  0.8199 [4 per cell]  1 Er 3.05, 5 Dy 3.18-3.34, 1 Y 3.39
Er  0.0189  0.5000  0.3603 [4 per cell]  2 Er 3.15-3.38, 4 Dy 3.21-3.49, 1 Y 3.26

Properties
* total DFT energy (no corrections): -38.46 eV per formula unit
* density of states at the Fermi level: 1.390 states/eV/atom
* size of the total moment: 0.000 μB per atom
* energy relative to the lowest polymorph listed for this composition: 289 meV/atom

***

No. 2
Material: PmNd5SmHo2
Method: DFT, PBE-GGA
State: optimized geometry

abc: 5.7104 20.4696 10.7180
angles: 90.00 90.00 90.00
Last column: nearest neighbours and their distance in Å.
Space group Cmc2_1 (No. 36)
Asymmetric unit:
Pm  0.0000  0.2003  0.0000 [4 per cell]  2 Ho 3.46-3.74, 7 Nd 3.53-3.82, 2 Sm 3.72
Nd  0.0000  0.0166  0.0124 [4 per cell]  2 Sm 3.29, 3 Ho 3.48-3.64
Nd  0.0000  0.2809  0.3002 [4 per cell]  1 Sm 3.09, 1 Ho 3.36, 2 Nd 3.46
Nd  0.0000  0.2964  0.6943 [4 per cell]  3 Nd 3.46-3.74, 3 Pm 3.53-3.82, 3 Ho 3.58-3.80, 1 Sm 3.59
Nd  0.0000  0.3907  0.0157 [4 per cell]  6 Nd 3.54-3.95, 4 Ho 3.61-3.64, 1 Pm 3.90
Nd  0.0000  0.4781  0.7311 [4 per cell]  2 Sm 3.19-3.37, 2 Nd 3.54, 2 Ho 3.56
Sm  0.0000  0.4122  0.4427 [4 per cell]  5 Nd 3.09-3.37
Ho  0.0000  0.1115  0.7256 [4 per cell]  1 Pm 3.46, 7 Nd 3.48-3.80, 2 Sm 3.72
Ho  0.0000  0.1169  0.3103 [4 per cell]  8 Nd 3.36-3.61, 1 Pm 3.74

Properties
* total DFT energy (no corrections): -41.16 eV per formula unit
* density of states at the Fermi level: 1.557 states/eV/atom
* size of the total moment: 0.000 μB per atom

***

No. 3
Material: SnHSe
Method: DFT, PBE-GGA
State: optimized geometry

abc: 12.3029 3.5220 6.0721
angles: 90.00 103.56 90.00
Last column: nearest neighbours and their distance in Å.
Space group C2/m (No. 12)
Asymmetric unit:
Sn  0.1211  0.0000  0.2980 [4 per cell]  2 Se 2.77-2.97
H  0.1114  0.5000  0.8043 [4 per cell]  2 Se 1.76
Se  0.1101  0.0000  0.8036 [4 per cell]  2 H 1.76

Properties
* total DFT energy (no corrections): -10.68 eV per formula unit
* density of states at the Fermi level: 0.072 states/eV/atom
* size of the total moment: 0.000 μB per atom

***

No. 4
Material: ZnAs2Pt
Method: DFT, PBE-GGA
State: optimized geometry

abc: 6.5148 6.5148 6.5148
angles: 90.00 90.00 90.00
Last column: nearest neighbours and their distance in Å.
Space group F-43m (No. 216)
Asymmetric unit:
Zn  0.0000  0.0000  0.0000 [4 per cell]  4 As 2.82, 4 Pt 2.82
As  0.0000  0.0000  0.5000 [4 per cell]  4 As 2.82, 4 Pt 2.82
As  0.2500  0.2500  0.2500 [4 per cell]  4 As 2.82, 4 Zn 2.82
Pt  0.2500  0.2500  0.7500 [4 per cell]  4 As 2.82, 4 Zn 2.82

Properties
* total DFT energy (no corrections): -15.98 eV per formula unit
* density of states at the Fermi level: 0.740 states/eV/atom
* size of the total moment: 0.000 μB per atom